DFT (PBE) results for a relaxed structure of Rb2Li2Ga.

Unit cell a=7.686 b=7.686 c=6.286 alpha=90.00 beta=90.00 gamma=90.00
Fractional positions:
1 Rb 0.816 0.316 0.500
2 Rb 0.316 0.184 0.500
3 Rb 0.184 0.684 0.500
4 Rb 0.684 0.816 0.500
5 Li 0.173 0.327 0.000
6 Li 0.673 0.173 0.000
7 Li 0.827 0.673 0.000
8 Li 0.327 0.827 0.000
9 Ga 0.500 0.500 0.000
10 Ga 0.000 0.000 0.000

Summary:
The value obtained for the energy of formation from the pure elements is 15.2 kJ per mole of atoms. The value obtained for the size of the total moment is 0.68 μB/f.u. The calculated total energy comes out at -16.01 eV per cell. As for the volume: 37.1 Å³ per atom.

DFT (PBE) results for a relaxed structure of RbLi3Ga.

Unit cell a=5.624 b=5.624 c=5.624 alpha=90.00 beta=90.00 gamma=90.00
Fractional positions:
1 Li 0.000 0.500 0.000
2 Li 0.000 0.000 0.500
3 Li 0.500 0.000 0.000
4 Ga 0.500 0.500 0.500
5 Rb 0.000 0.000 0.000

Summary:
The value obtained for the offset from the most stable computed form is 811.3 meV per atom. The value obtained for the energy of formation from the pure elements is 80.8 kJ per mole of atoms. The value obtained for the size of the total moment is 0.00 μB/f.u. The calculated total energy comes out at -5.55 eV per cell. As for the volume: 35.6 Å³ per atom.